DFT (PBE) results for a relaxed structure of NiMo3.

Properties
Symmetry: P-6m2
Total energy (eV per cell): -37.1
Energy of formation (meV per atom): 282

Cell lengths 2.7391, 2.7391, 9.2087 Å; angles 90.00, 90.00, 120.00 degrees
Fractional coordinates of all 4 atoms:
Ni  0.0000  0.0000  0.0000
Mo  0.0000  0.0000  0.5000
Mo  0.6667  0.3333  0.2315
Mo  0.6667  0.3333  0.7685

---

DFT (PBE) results for a relaxed structure of Tb7Zn2Sb2.

Properties
Formation energy from raw total energies (kJ/mol of atoms): -20.19
Symmetry: Cmmm
Total energy (eV per cell): -45.5

Cell lengths 7.1213, 7.1213, 6.7007 Å; angles 90.00, 90.00, 100.23 degrees
Fractional coordinates of all 11 atoms:
Tb  0.0000  0.0000  0.0000
Tb  0.0000  0.5000  0.2554
Tb  0.0000  0.5000  0.7446
Tb  0.5000  0.0000  0.2554
Tb  0.5000  0.0000  0.7446
Tb  0.5000  0.5000  0.2429
Tb  0.5000  0.5000  0.7571
Zn  0.2760  0.7240  0.0000
Zn  0.7240  0.2760  0.0000
Sb  0.1994  0.1994  0.5000
Sb  0.8006  0.8006  0.5000

---

DFT (PBE) results for a relaxed structure of Tb2GaSe.

Properties
Formation energy from raw total energies (kJ/mol of atoms): -106.20
Symmetry: R3m
Total energy (eV per cell): -20.2

Cell lengths 8.1107, 8.1107, 8.1107 Å; angles 27.60, 27.60, 27.60 degrees
Fractional coordinates of all 4 atoms:
Tb  0.0000  0.0000  0.0000
Tb  0.1658  0.1658  0.1658
Ga  0.5823  0.5823  0.5823
Se  0.7508  0.7508  0.7508

---

DFT (PBE) results for a relaxed structure of Ce5Ge2Os.

Properties
Symmetry: Cmcm
Total energy (eV per cell): -105.8
Energy of formation (meV per atom): -345

Cell lengths 5.2733, 5.2733, 15.9394 Å; angles 90.00, 90.00, 119.38 degrees
Fractional coordinates of all 16 atoms:
Ce  0.0668  0.9332  0.5893
Ce  0.0668  0.9332  0.9107
Ce  0.2765  0.7235  0.2500
Ce  0.3968  0.6032  0.6189
Ce  0.3968  0.6032  0.8811
Ce  0.6032  0.3968  0.1189
Ce  0.6032  0.3968  0.3811
Ce  0.7235  0.2765  0.7500
Ce  0.9332  0.0668  0.0893
Ce  0.9332  0.0668  0.4107
Ge  0.2748  0.7252  0.0631
Ge  0.2748  0.7252  0.4369
Ge  0.7252  0.2748  0.5631
Ge  0.7252  0.2748  0.9369
Os  0.0496  0.9504  0.7500
Os  0.9504  0.0496  0.2500

---

DFT (PBE) results for a relaxed structure of Pr4NiBi.

Properties
Symmetry: C2/c
Total energy (eV per cell): -61.6
Energy of formation (meV per atom): -334

Cell lengths 8.5544, 8.5544, 6.2515 Å; angles 103.14, 103.14, 116.24 degrees
Fractional coordinates of all 12 atoms:
Pr  0.0765  0.6962  0.9227
Pr  0.1918  0.3338  0.6585
Pr  0.3038  0.9235  0.5773
Pr  0.3338  0.1918  0.1585
Pr  0.6662  0.8082  0.8415
Pr  0.6962  0.0765  0.4227
Pr  0.8082  0.6662  0.3415
Pr  0.9235  0.3038  0.0773
Ni  0.0010  0.9990  0.7500
Ni  0.9990  0.0010  0.2500
Bi  0.3838  0.6162  0.2500
Bi  0.6162  0.3838  0.7500

---

DFT (PBE) results for a relaxed structure of CaPmAs2.

Properties
Symmetry: Fm-3m
Total energy (eV per cell): -20.0
Energy of formation (meV per atom): -982

Cell lengths 5.1687, 5.1687, 5.1687 Å; angles 60.00, 60.00, 60.00 degrees
Fractional coordinates of all 4 atoms:
Ca  0.0000  0.0000  0.0000
Pm  0.5000  0.5000  0.5000
As  0.2500  0.2500  0.2500
As  0.7500  0.7500  0.7500

---

DFT (PBE) results for a relaxed structure of LiSc2NiC.

Properties
Symmetry: P4/mmm
Total energy (eV per cell): -30.8
Energy of formation (meV per atom): -240

Cell lengths 4.5648, 4.5648, 3.7321 Å; angles 90.00, 90.00, 90.00 degrees
Fractional coordinates of all 5 atoms:
Li  0.0000  0.0000  0.0000
Sc  0.0000  0.5000  0.5000
Sc  0.5000  0.0000  0.5000
Ni  0.5000  0.5000  0.0000
C  0.5000  0.5000  0.5000

---

DFT (PBE) results for a relaxed structure of AsPtSe2.

Properties
Formation energy from raw total energies (kJ/mol of atoms): -6.23
Symmetry: Immm
Total energy (eV per cell): -17.9

Cell lengths 6.5995, 6.5995, 6.5995 Å; angles 147.34, 141.22, 51.58 degrees
Fractional coordinates of all 4 atoms:
As  0.0000  0.0000  0.0000
Pt  0.5000  0.5000  0.0000
Se  0.3548  0.8548  0.5000
Se  0.6452  0.1452  0.5000

---

Q: total energy of number 5 (Pr4NiBi)?
A: -61.6 eV per cell